VASP calculation (GGA-PBE) on crystalline PrNdCo2Pb at its relaxed geometry.

Structure (POSCAR):
```
PrNdCo2Pb
1.0
4.012 0.000 0.000
0.000 1.977 7.248
0.000 -1.977 7.248
Pr Nd Co Pb
1 1 2 1
direct
0.000 0.000 0.000
0.000 0.724 0.724
0.500 0.154 0.154
0.500 0.572 0.572
0.500 0.361 0.361
```

## Properties
Space-group type = Amm2
Crystal system = orthorhombic

VASP calculation (GGA-PBE) on crystalline NdSmCo2Pb at its relaxed geometry.

Structure (POSCAR):
```
NdSmCo2Pb
1.0
3.967 0.000 0.000
0.000 1.954 7.228
0.000 -1.954 7.228
Nd Sm Co Pb
1 1 2 1
direct
0.000 0.000 0.000
0.000 0.277 0.277
0.500 0.428 0.428
0.500 0.846 0.846
0.500 0.640 0.640
```

## Properties
Space-group type = Amm2
Crystal system = orthorhombic

VASP calculation (GGA-PBE) on crystalline PrNdCo at its relaxed geometry.

Structure (POSCAR):
```
PrNdCo
1.0
4.505 0.000 0.000
-2.253 3.902 0.000
0.000 0.000 12.805
Pr Nd Co
3 3 3
direct
0.000 0.000 0.000
0.000 0.000 0.332
0.333 0.667 0.511
0.000 0.000 0.664
0.333 0.667 0.178
0.333 0.667 0.840
0.667 0.333 0.094
0.667 0.333 0.421
0.667 0.333 0.749
```

## Properties
Energy above the most stable polymorph in this dataset = 0.000 eV/atom
Space-group type = P3m1
Calculated formation energy = 12.4 kJ per mole of atoms
Crystal system = trigonal

VASP calculation (GGA-PBE) on crystalline PrNdCo at its relaxed geometry.

Structure (POSCAR):
```
PrNdCo
1.0
0.000 3.379 3.379
3.379 0.000 3.379
3.379 3.379 0.000
Pr Nd Co
1 1 1
direct
0.000 0.000 0.000
0.250 0.250 0.250
0.750 0.750 0.750
```

## Properties
Energy above the most stable polymorph in this dataset = 0.616 eV/atom
Space-group type = F-43m
Calculated formation energy = 71.8 kJ per mole of atoms
Crystal system = cubic

VASP calculation (GGA-PBE) on crystalline PrNdCo2Si4 at its relaxed geometry.

Structure (POSCAR):
```
PrNdCo2Si4
1.0
4.321 0.000 0.000
0.000 4.042 0.000
-1.856 0.000 7.931
Pr Nd Co Si
1 1 2 4
direct
0.000 0.000 0.000
0.197 0.500 0.406
0.467 0.500 0.817
0.728 0.000 0.588
0.280 0.000 0.695
0.554 0.500 0.110
0.644 0.000 0.297
0.915 0.500 0.709
```

## Properties
Space-group type = Pm
Crystal system = monoclinic

VASP calculation (GGA-PBE) on crystalline NdCoPt at its relaxed geometry.

Structure (POSCAR):
```
NdCoPt
1.0
0.000 3.266 3.266
3.266 0.000 3.266
3.266 3.266 0.000
Nd Co Pt
1 1 1
direct
0.000 0.000 0.000
0.500 0.500 0.500
0.750 0.750 0.750
```

## Properties
Space-group type = F-43m
Calculated formation energy = -11.5 kJ per mole of atoms
Crystal system = cubic

VASP calculation (GGA-PBE) on crystalline Nd2CoSn4Pt at its relaxed geometry.

Structure (POSCAR):
```
Nd2CoSn4Pt
1.0
4.592 0.000 0.000
0.000 2.232 9.380
0.000 -2.232 9.380
Nd Co Sn Pt
2 1 4 1
direct
0.000 0.000 0.000
0.500 0.221 0.221
0.500 0.428 0.428
0.000 0.367 0.367
0.000 0.647 0.647
0.500 0.558 0.558
0.500 0.863 0.863
0.000 0.785 0.785
```

## Properties
Space-group type = Amm2
Crystal system = orthorhombic

VASP calculation (GGA-PBE) on crystalline NdPu2Co9 at its relaxed geometry.

Structure (POSCAR):
```
NdPu2Co9
1.0
2.398 1.384 8.022
-2.398 1.384 8.022
0.000 -2.769 8.022
Nd Pu Co
1 2 9
direct
0.000 0.000 0.000
0.145 0.145 0.145
0.855 0.855 0.855
0.083 0.584 0.584
0.332 0.332 0.332
0.416 0.416 0.917
0.416 0.917 0.416
0.500 0.500 0.500
0.584 0.083 0.584
0.584 0.584 0.083
0.668 0.668 0.668
0.917 0.416 0.416
```

## Properties
Space-group type = R-3m
Calculated formation energy = 10.8 kJ per mole of atoms
Crystal system = trigonal

VASP calculation (GGA-PBE) on crystalline RbNdCo at its relaxed geometry.

Structure (POSCAR):
```
RbNdCo
1.0
0.000 3.557 3.557
3.557 0.000 3.557
3.557 3.557 0.000
Rb Nd Co
1 1 1
direct
0.000 0.000 0.000
0.500 0.500 0.500
0.750 0.750 0.750
```

## Properties
Space-group type = F-43m
Crystal system = cubic

VASP calculation (GGA-PBE) on crystalline RbNdCoS3 at its relaxed geometry.

Structure (POSCAR):
```
RbNdCoS3
1.0
2.016 -7.359 0.000
2.016 7.359 0.000
0.000 0.000 10.824
Rb Nd Co S
2 2 2 6
direct
0.240 0.760 0.750
0.760 0.240 0.250
0.500 0.500 0.000
0.500 0.500 0.500
0.034 0.966 0.250
0.966 0.034 0.750
0.121 0.879 0.078
0.121 0.879 0.422
0.445 0.555 0.250
0.555 0.445 0.750
0.879 0.121 0.578
0.879 0.121 0.922
```

## Properties
Space-group type = Cmcm
Crystal system = orthorhombic

VASP calculation (GGA-PBE) on crystalline RbNdCoS3 at its relaxed geometry.

Structure (POSCAR):
```
RbNdCoS3
1.0
10.858 0.000 0.000
0.000 4.038 0.000
0.000 0.000 14.696
Rb Nd Co S
4 4 4 12
direct
0.229 0.250 0.010
0.271 0.750 0.510
0.729 0.250 0.490
0.771 0.750 0.990
0.009 0.750 0.257
0.491 0.250 0.757
0.509 0.750 0.243
0.991 0.250 0.743
0.240 0.750 0.784
0.260 0.250 0.284
0.740 0.750 0.716
0.760 0.250 0.216
0.064 0.750 0.866
0.093 0.250 0.375
0.244 0.250 0.696
0.256 0.750 0.196
0.407 0.750 0.875
0.436 0.250 0.366
0.564 0.750 0.634
0.593 0.250 0.125
0.744 0.250 0.804
0.756 0.750 0.304
0.907 0.750 0.625
0.936 0.250 0.134
```

## Properties
Space-group type = Pnma
Crystal system = orthorhombic

VASP calculation (GGA-PBE) on crystalline RbNdCoTe3 at its relaxed geometry.

Structure (POSCAR):
```
RbNdCoTe3
1.0
11.867 0.000 0.000
0.000 4.381 0.000
0.000 0.000 16.327
Rb Nd Co Te
4 4 4 12
direct
0.230 0.250 0.008
0.270 0.750 0.508
0.730 0.250 0.492
0.770 0.750 0.992
0.010 0.750 0.257
0.490 0.250 0.757
0.510 0.750 0.243
0.990 0.250 0.743
0.242 0.750 0.785
0.258 0.250 0.285
0.742 0.750 0.715
0.758 0.250 0.215
0.061 0.750 0.873
0.087 0.250 0.383
0.243 0.250 0.690
0.257 0.750 0.190
0.413 0.750 0.883
0.439 0.250 0.373
0.561 0.750 0.627
0.587 0.250 0.117
0.743 0.250 0.810
0.757 0.750 0.310
0.913 0.750 0.617
0.939 0.250 0.127
```

## Properties
Space-group type = Pnma
Crystal system = orthorhombic

VASP calculation (GGA-PBE) on crystalline RbNdCoTe3 at its relaxed geometry.

Structure (POSCAR):
```
RbNdCoTe3
1.0
2.188 -8.314 0.000
2.188 8.314 0.000
0.000 0.000 11.767
Rb Nd Co Te
2 2 2 6
direct
0.241 0.759 0.750
0.759 0.241 0.250
0.500 0.500 0.000
0.500 0.500 0.500
0.030 0.970 0.250
0.970 0.030 0.750
0.126 0.874 0.076
0.126 0.874 0.424
0.437 0.563 0.250
0.563 0.437 0.750
0.874 0.126 0.576
0.874 0.126 0.924
```

## Properties
Space-group type = Cmcm
Crystal system = orthorhombic

VASP calculation (GGA-PBE) on crystalline NdCoRe at its relaxed geometry.

Structure (POSCAR):
```
NdCoRe
1.0
3.820 0.000 0.000
0.000 3.820 0.000
0.000 0.000 7.944
Nd Co Re
2 2 2
direct
0.250 0.250 0.164
0.750 0.750 0.836
0.250 0.250 0.707
0.750 0.750 0.293
0.250 0.750 0.500
0.750 0.250 0.500
```

## Properties
Energy above the most stable polymorph in this dataset = 0.000 eV/atom
Space-group type = P4/nmm
Calculated formation energy = 9.4 kJ per mole of atoms
Crystal system = tetragonal

VASP calculation (GGA-PBE) on crystalline NdCoRe at its relaxed geometry.

Structure (POSCAR):
```
NdCoRe
1.0
0.000 3.120 3.120
3.120 0.000 3.120
3.120 3.120 0.000
Nd Co Re
1 1 1
direct
0.000 0.000 0.000
0.250 0.250 0.250
0.500 0.500 0.500
```

## Properties
Energy above the most stable polymorph in this dataset = 0.698 eV/atom
Space-group type = F-43m
Calculated formation energy = 76.8 kJ per mole of atoms
Crystal system = cubic

VASP calculation (GGA-PBE) on crystalline NdCoSb3 at its relaxed geometry.

Structure (POSCAR):
```
NdCoSb3
1.0
12.774 0.000 0.000
0.000 6.166 0.000
0.000 0.000 12.153
Nd Co Sb
8 8 24
direct
0.197 0.224 0.250
0.197 0.276 0.750
0.201 0.750 0.000
0.201 0.750 0.500
0.799 0.250 0.000
0.799 0.250 0.500
0.803 0.724 0.250
0.803 0.776 0.750
0.402 0.038 0.636
0.402 0.038 0.864
0.402 0.462 0.136
0.402 0.462 0.364
0.598 0.538 0.636
0.598 0.538 0.864
0.598 0.962 0.136
0.598 0.962 0.364
0.002 0.014 0.624
0.002 0.014 0.876
0.002 0.486 0.124
0.002 0.486 0.376
0.281 0.250 0.000
0.281 0.250 0.500
0.286 0.732 0.250
0.286 0.768 0.750
0.445 0.115 0.250
0.445 0.385 0.750
0.472 0.750 0.000
0.472 0.750 0.500
0.528 0.250 0.000
0.528 0.250 0.500
0.555 0.615 0.250
0.555 0.885 0.750
0.714 0.232 0.250
0.714 0.268 0.750
0.719 0.750 0.000
0.719 0.750 0.500
0.998 0.514 0.624
0.998 0.514 0.876
0.998 0.986 0.124
0.998 0.986 0.376
```

## Properties
Space-group type = Pbcm
Crystal system = orthorhombic

VASP calculation (GGA-PBE) on crystalline NdCoSb2 at its relaxed geometry.

Structure (POSCAR):
```
NdCoSb2
1.0
4.381 0.000 0.000
0.000 4.381 0.000
0.000 0.000 9.824
Nd Co Sb
2 2 4
direct
0.250 0.250 0.241
0.750 0.750 0.759
0.250 0.750 0.000
0.750 0.250 0.000
0.250 0.250 0.866
0.250 0.750 0.500
0.750 0.250 0.500
0.750 0.750 0.134
```

## Properties
Space-group type = P4/nmm
Crystal system = tetragonal

VASP calculation (GGA-PBE) on crystalline NdScCo at its relaxed geometry.

Structure (POSCAR):
```
NdScCo
1.0
0.000 3.195 3.195
3.195 0.000 3.195
3.195 3.195 0.000
Nd Sc Co
1 1 1
direct
0.000 0.000 0.000
0.750 0.750 0.750
0.500 0.500 0.500
```

## Properties
Energy above the most stable polymorph in this dataset = 0.512 eV/atom
Space-group type = F-43m
Calculated formation energy = 61.3 kJ per mole of atoms
Crystal system = cubic

VASP calculation (GGA-PBE) on crystalline NdScCo at its relaxed geometry.

Structure (POSCAR):
```
NdScCo
1.0
0.000 3.234 3.234
3.234 0.000 3.234
3.234 3.234 0.000
Nd Sc Co
1 1 1
direct
0.000 0.000 0.000
0.250 0.250 0.250
0.750 0.750 0.750
```

## Properties
Energy above the most stable polymorph in this dataset = 0.687 eV/atom
Space-group type = F-43m
Calculated formation energy = 78.1 kJ per mole of atoms
Crystal system = cubic

VASP calculation (GGA-PBE) on crystalline NdScCo at its relaxed geometry.

Structure (POSCAR):
```
NdScCo
1.0
7.734 0.000 0.000
-3.867 6.698 0.000
0.000 0.000 3.824
Nd Sc Co
3 3 3
direct
0.000 0.666 0.000
0.334 0.334 0.000
0.666 0.000 0.000
0.000 0.000 0.500
0.333 0.667 0.500
0.667 0.333 0.500
0.000 0.332 0.500
0.332 0.000 0.500
0.668 0.668 0.500
```

## Properties
Energy above the most stable polymorph in this dataset = 0.000 eV/atom
Space-group type = P-62m
Calculated formation energy = 11.9 kJ per mole of atoms
Crystal system = hexagonal

Total energy in eV/cell, matching the order above: -28.72 -28.79 -48.77 -14.41 -51.33 -18.28 -43.69 -95.63 -10.03 -65.36 -130.75 -109.11 -54.56 -48.00 -21.90 -216.80 -45.27 -16.29 -15.77 -53.49